Computed, not measured: crystalline Na2ZnP4H16O20 at its relaxed geometry at the PBE level of DFT.

Computed properties:
**Electronic total energy**: -5.7045 eV/atom
**Total moment**: 0.00 μB/f.u.
**Space group**: P2_1/c, No. 14

Cell and atoms, written as POSCAR:
```
Na2ZnP4H16O20
1.0
7.309 0.000 -0.026
0.000 10.819 0.000
-2.029 0.000 10.954
P O H Na Zn
8 40 32 4 2
Direct
0.263 0.456 0.718
0.237 0.956 0.782
0.763 0.044 0.218
0.264 0.263 0.082
0.737 0.544 0.282
0.764 0.237 0.582
0.736 0.737 0.918
0.236 0.763 0.418
0.090 0.351 0.083
0.197 0.318 0.689
0.804 0.856 0.986
0.886 0.455 0.362
0.235 0.984 0.648
0.222 0.868 0.086
0.696 0.356 0.514
0.114 0.545 0.638
0.735 0.516 0.148
0.614 0.955 0.138
0.803 0.682 0.311
0.368 0.243 0.214
0.051 0.970 0.824
0.240 0.560 0.152
0.949 0.030 0.176
0.098 0.832 0.488
0.265 0.484 0.852
0.386 0.045 0.862
0.868 0.257 0.714
0.590 0.149 0.583
0.760 0.440 0.848
0.765 0.016 0.352
0.902 0.168 0.512
0.722 0.632 0.586
0.598 0.668 0.988
0.551 0.530 0.324
0.410 0.851 0.417
0.697 0.182 0.189
0.778 0.132 0.914
0.303 0.818 0.811
0.910 0.649 0.917
0.449 0.470 0.676
0.132 0.743 0.286
0.278 0.368 0.414
0.196 0.144 0.014
0.304 0.644 0.486
0.260 0.060 0.348
0.402 0.332 0.012
0.632 0.757 0.786
0.740 0.940 0.652
0.817 0.378 0.799
0.341 0.393 0.942
0.813 0.166 0.838
0.841 0.107 0.442
0.847 0.595 0.610
0.675 0.909 0.076
0.361 0.541 0.208
0.159 0.893 0.558
0.317 0.122 0.299
0.175 0.591 0.576
0.187 0.834 0.162
0.636 0.062 0.614
0.864 0.562 0.886
0.139 0.041 0.292
0.683 0.878 0.701
0.659 0.607 0.058
0.325 0.091 0.924
0.931 0.705 0.292
0.825 0.409 0.424
0.653 0.095 0.890
0.347 0.905 0.110
0.569 0.205 0.208
0.687 0.666 0.662
0.431 0.795 0.792
0.183 0.622 0.201
0.153 0.405 0.390
0.861 0.959 0.708
0.313 0.334 0.338
0.639 0.459 0.792
0.364 0.938 0.386
0.069 0.295 0.708
0.136 0.438 0.114
0.249 0.670 0.960
0.749 0.830 0.460
0.251 0.170 0.540
0.751 0.330 0.040
0.000 0.000 0.000
0.500 0.500 0.500
```

***

Computed, not measured: crystalline Na3Ge5Pt6 at its relaxed geometry at the PBE level of DFT.

Computed properties:
**Formation energy**: -624 kJ/mol of formula units
**Total moment**: 0.00 μB/f.u.
**Space group**: Pmmn, No. 59

Cell and atoms, written as POSCAR:
```
Na3Ge5Pt6
1.0
-0.684 -3.945 -0.847
8.202 -0.241 -5.500
6.908 -3.443 10.453
Na Pt Ge
6 12 10
Direct
0.000 0.255 0.000
0.000 0.250 0.655
0.000 0.250 0.345
0.500 0.750 0.155
0.500 0.745 0.500
0.500 0.750 0.845
0.500 0.502 0.000
0.000 0.973 0.500
0.500 0.401 0.204
0.500 0.990 0.670
0.500 0.027 0.000
0.000 0.010 0.170
0.000 0.599 0.704
0.000 0.498 0.500
0.000 0.599 0.296
0.000 0.010 0.830
0.500 0.401 0.796
0.500 0.990 0.330
0.500 0.120 0.500
0.000 0.518 0.117
0.000 0.880 0.000
0.500 0.482 0.383
0.500 0.157 0.827
0.000 0.843 0.327
0.500 0.482 0.617
0.000 0.518 0.883
0.500 0.157 0.173
0.000 0.843 0.673
```

***

Computed, not measured: crystalline Dy4Ho3Sc3 at its relaxed geometry at the PBE level of DFT.

Computed properties:
**Formation energy**: 87 kJ/mol of formula units
**Total moment**: 0.00 μB/f.u.
**Space group**: Amm2, No. 38

Cell and atoms, written as POSCAR:
```
Dy4Ho3Sc3
1.0
-0.493 3.446 -0.989
-7.054 -2.456 -5.045
-5.420 1.260 7.091
Dy Sc Ho
4 3 3
Direct
0.000 0.126 0.136
0.000 0.631 0.369
0.000 0.376 0.624
0.000 0.864 0.874
0.500 0.333 0.330
0.500 0.830 0.170
0.500 0.670 0.667
0.000 0.999 0.498
0.000 0.502 0.001
0.500 0.169 0.831
```

***

Computed, not measured: crystalline In2PtRh at its relaxed geometry at the PBE level of DFT.

Computed properties:
**Formation energy**: -155 kJ/mol of formula units
**Total moment**: 0.00 μB/f.u.
**Space group**: P4/mmm, No. 123

Cell and atoms, written as POSCAR:
```
In2PtRh
1.0
4.398 0.000 0.000
0.000 4.398 0.000
0.000 0.000 3.622
In Rh Pt
2 1 1
Direct
0.000 0.000 0.000
0.500 0.500 0.000
0.000 0.500 0.500
0.500 0.000 0.500
```

***

Computed, not measured: crystalline Ag2TePd2 at its relaxed geometry at the PBE level of DFT.

Computed properties:
**Polymorph energy (0 for the lowest one)**: 49 meV/atom
**Total moment**: 0.00 μB/f.u.
**Space group**: P4/mbm, No. 127
**Uncorrected formation energy**: -0.044 eV per atom

Cell and atoms, written as POSCAR:
```
Ag2TePd2
1.0
-5.387 1.797 -3.902
-3.103 -5.955 1.542
-1.758 1.753 3.234
Te Ag Pd
2 4 4
Direct
0.500 0.500 0.000
0.000 0.000 0.000
0.849 0.349 0.500
0.651 0.849 0.500
0.349 0.151 0.500
0.151 0.651 0.500
0.147 0.353 0.000
0.853 0.647 0.000
0.353 0.853 0.000
0.647 0.147 0.000
```

***

Computed, not measured: crystalline Mg2ScCd at its relaxed geometry at the PBE level of DFT.

Computed properties:
**Formation energy**: -32 kJ/mol of formula units
**Total moment**: 0.00 μB/f.u.
**Space group**: P2/m, No. 10

Cell and atoms, written as POSCAR:
```
Mg2ScCd
1.0
4.946 0.000 0.000
0.000 3.184 -0.016
0.000 0.945 5.716
Sc Cd Mg
1 1 2
Direct
0.500 0.250 0.250
0.500 0.750 0.750
0.000 0.907 0.997
0.000 0.593 0.503
```

***

Computed, not measured: crystalline RbCo2Re at its relaxed geometry at the PBE level of DFT.

Computed properties:
**Formation energy**: 571 kJ/mol of formula units
**Polymorph energy (0 for the lowest one)**: 0 meV/atom
**Total moment**: 1.34 μB/f.u.
**Space group**: I-42d, No. 122

Cell and atoms, written as POSCAR:
```
RbCo2Re
1.0
-1.992 4.388 5.365
3.674 -4.065 4.689
3.722 2.137 4.482
Co Re Rb
4 2 2
Direct
0.728 0.125 0.250
0.375 0.272 0.750
0.022 0.625 0.250
0.875 0.978 0.750
0.750 0.250 0.500
0.000 0.000 0.000
0.250 0.750 0.500
0.500 0.500 0.000
```

***

Computed, not measured: crystalline Te3MoW at its relaxed geometry at the PBE level of DFT.

Computed properties:
**Polymorph energy (0 for the lowest one)**: 0 meV/atom
**Total moment**: 4.77 μB/f.u.
**Space group**: Pm-3m, No. 221
**Uncorrected formation energy**: 1.298 eV per atom

Cell and atoms, written as POSCAR:
```
Te3MoW
1.0
5.312 0.000 0.000
0.000 5.312 0.000
0.000 0.000 5.312
Te W Mo
3 1 1
Direct
0.500 0.000 0.000
0.000 0.500 0.000
0.000 0.000 0.500
0.000 0.000 0.000
0.500 0.500 0.500
```